1.
! Li2SmCu4, relaxed, DFT PBE-GGA; values from VASP
! total energy	-3.69	eV per atom
! formation energy from the elements	-0.93	eV/f.u.
! magnetization	0.0	μB/cell
&SYSTEM
  ibrav = 0, nat = 14, ntyp = 3
/
ATOMIC_SPECIES
Li 6.94 Li.upf
Sm 150.36 Sm.upf
Cu 63.55 Cu.upf
ATOMIC_POSITIONS crystal
Li 0.001 0.000 0.251
Li 0.499 0.500 0.749
Li 0.501 0.500 0.251
Li 0.999 0.000 0.749
Sm 0.000 0.500 0.500
Sm 0.500 0.000 0.500
Cu 0.190 0.310 0.190
Cu 0.190 0.690 0.190
Cu 0.310 0.190 0.810
Cu 0.310 0.810 0.810
Cu 0.690 0.190 0.190
Cu 0.690 0.810 0.190
Cu 0.810 0.310 0.810
Cu 0.810 0.690 0.810
CELL_PARAMETERS angstrom
8.256 0.000 0.000
0.000 6.716 0.000
-2.811 0.000 3.935

***

2.
! Sc2UPaC4, relaxed, DFT PBE-GGA; values from VASP
! total energy	-9.18	eV per atom
! formation energy from the elements	-3.13	eV/f.u.
! magnetization	0.0	μB/cell
&SYSTEM
  ibrav = 0, nat = 8, ntyp = 4
/
ATOMIC_SPECIES
Sc 44.96 Sc.upf
U 238.03 U.upf
Pa 231.04 Pa.upf
C 12.01 C.upf
ATOMIC_POSITIONS crystal
Sc 0.000 0.000 0.000
Sc 0.000 0.500 0.500
U 0.500 0.000 0.500
Pa 0.500 0.500 0.000
C 0.260 0.000 0.743
C 0.262 0.500 0.262
C 0.738 0.500 0.738
C 0.740 0.000 0.257
CELL_PARAMETERS angstrom
5.876 0.000 0.000
0.000 3.511 0.000
-2.091 0.000 5.707

***

3.
! TaHg4, relaxed, DFT PBE-GGA; values from VASP
! total energy	-2.25	eV per atom
! formation energy from the elements	1.80	eV/f.u.
! magnetization	0.0	μB/cell
&SYSTEM
  ibrav = 0, nat = 10, ntyp = 2
/
ATOMIC_SPECIES
Ta 180.95 Ta.upf
Hg 200.59 Hg.upf
ATOMIC_POSITIONS crystal
Ta 0.000 0.000 0.000
Ta 0.500 0.500 0.500
Hg 0.000 0.280 0.500
Hg 0.000 0.720 0.500
Hg 0.220 0.500 0.000
Hg 0.280 0.000 0.500
Hg 0.500 0.220 0.000
Hg 0.500 0.780 0.000
Hg 0.720 0.000 0.500
Hg 0.780 0.500 0.000
CELL_PARAMETERS angstrom
8.823 0.000 0.000
0.000 8.823 0.000
0.000 0.000 3.046

***

4.
! LaTbAu3, relaxed, DFT PBE-GGA; values from VASP
! total energy	-4.72	eV per atom
! formation energy from the elements	-4.20	eV/f.u.
! magnetization	0.0	μB/cell
&SYSTEM
  ibrav = 0, nat = 10, ntyp = 3
/
ATOMIC_SPECIES
La 138.91 La.upf
Tb 158.93 Tb.upf
Au 196.97 Au.upf
ATOMIC_POSITIONS crystal
La 0.073 0.927 0.750
La 0.927 0.073 0.250
Tb 0.207 0.793 0.250
Tb 0.793 0.207 0.750
Au 0.313 0.687 0.250
Au 0.376 0.624 0.750
Au 0.473 0.527 0.750
Au 0.527 0.473 0.250
Au 0.624 0.376 0.250
Au 0.687 0.313 0.750
CELL_PARAMETERS angstrom
1.870 -14.267 0.000
1.870 14.267 0.000
0.000 0.000 4.627

***

5.
! FeTc2Ni, relaxed, DFT PBE-GGA; values from VASP
! total energy	-8.60	eV per atom
! formation energy from the elements	0.58	eV/f.u.
! magnetization	4.2	μB/cell
&SYSTEM
  ibrav = 0, nat = 12, ntyp = 3
/
ATOMIC_SPECIES
Fe 55.84 Fe.upf
Tc 98.00 Tc.upf
Ni 58.69 Ni.upf
ATOMIC_POSITIONS crystal
Fe 0.000 0.000 0.000
Fe 0.333 0.667 0.667
Fe 0.667 0.333 0.333
Tc 0.000 0.000 0.251
Tc 0.000 0.000 0.749
Tc 0.333 0.667 0.416
Tc 0.333 0.667 0.918
Tc 0.667 0.333 0.082
Tc 0.667 0.333 0.584
Ni 0.000 0.000 0.500
Ni 0.333 0.667 0.167
Ni 0.667 0.333 0.833
CELL_PARAMETERS angstrom
2.647 0.000 0.000
-1.323 2.292 0.000
0.000 0.000 25.554

***

6.
! CaHg2Pd2, relaxed, DFT PBE-GGA; values from VASP
! total energy	-2.94	eV per atom
! formation energy from the elements	-1.71	eV/f.u.
! magnetization	0.0	μB/cell
&SYSTEM
  ibrav = 0, nat = 10, ntyp = 3
/
ATOMIC_SPECIES
Ca 40.08 Ca.upf
Hg 200.59 Hg.upf
Pd 106.42 Pd.upf
ATOMIC_POSITIONS crystal
Ca 0.000 0.000 0.000
Ca 0.500 0.500 0.000
Hg 0.128 0.372 0.000
Hg 0.372 0.872 0.000
Hg 0.628 0.128 0.000
Hg 0.872 0.628 0.000
Pd 0.172 0.672 0.500
Pd 0.328 0.172 0.500
Pd 0.672 0.828 0.500
Pd 0.828 0.328 0.500
CELL_PARAMETERS angstrom
7.977 0.000 0.000
0.000 7.977 0.000
0.000 0.000 3.256

***

Which of these has the lowest formation energy from the elements? LaTbAu3